! InTePb2 (PBE, relaxed); values from VASP
! Calculated volume, Å³/atom: 30.3
! E_tot, eV per atom: -3.31
! M_tot, μB per formula unit: 0.00
! Symmetry: F-43m (216)
! Formation energy (no corrections), kJ/mol of formula units: 7
! Distance to the lowest polymorph of the same formula, eV per atom: 0.0949
! DOS at the Fermi energy, states/eV per cell: 2.64
&SYSTEM
  ibrav = 0, nat = 4, ntyp = 3
/
ATOMIC_SPECIES
In 114.82 In.upf
Te 127.60 Te.upf
Pb 207.20 Pb.upf
CELL_PARAMETERS angstrom
0.0000 3.9258 3.9258
3.9258 0.0000 3.9258
3.9258 3.9258 0.0000
ATOMIC_POSITIONS angstrom
In 0.0000 0.0000 0.0000
Te 1.9629 1.9629 1.9629
Pb 3.9258 3.9258 3.9258
Pb 5.8888 5.8888 5.8888

! AsRuIN2 (PBE, relaxed); values from VASP
! Calculated volume, Å³/atom: 20.0
! E_tot, eV per atom: -4.71
! M_tot, μB per formula unit: 2.36
! Symmetry: P4/mmm (123)
! Formation energy (no corrections), kJ/mol of formula units: 829
! Distance to the lowest polymorph of the same formula, eV per atom: 0.5402
! DOS at the Fermi energy, states/eV per cell: 2.98
&SYSTEM
  ibrav = 0, nat = 5, ntyp = 4
/
ATOMIC_SPECIES
As 74.92 As.upf
Ru 101.07 Ru.upf
I 126.90 I.upf
N 14.01 N.upf
CELL_PARAMETERS angstrom
3.7485 0.0000 0.0000
0.0000 3.7485 0.0000
0.0000 0.0000 7.1290
ATOMIC_POSITIONS angstrom
As 0.0000 0.0000 0.0000
Ru 1.8742 1.8742 3.5645
I 0.0000 0.0000 3.5645
N 0.0000 1.8742 0.0000
N 1.8742 0.0000 0.0000